3
Lattice="0.000 3.349 3.349 3.349 0.000 3.349 3.349 3.349 0.000" Properties=species:S:1:pos:R:3 comment="GGA-PBE TbTeW, optimized geometry" spacegroup="F-43m (216)" m_tot_mub_per_cell=1.22 final_energy_ev_per_cell=-18.796 pbc="T T T"
Tb 0.000 0.000 0.000
Te 1.675 1.675 1.675
W 3.349 3.349 3.349